#P
A relaxed structure of CaP4. Source: the Alexandria database, functional GGA-PBE.

Spin magnetization   0.01 μB/f.u.

Cell lengths 5.127, 5.127, 5.127 Å; angles 90.00, 90.00, 90.00 degrees
Space group Pm-3m (No. 221)
Symmetry-distinct sites (fractional):
Ca  0.000  0.000  0.000 (multiplicity 1)
P  0.000  0.000  0.500 (multiplicity 3)
P  0.500  0.500  0.500 (multiplicity 1)



#Q
A relaxed structure of CaP4. Source: the Alexandria database, functional GGA-PBE.

Spin magnetization   0.00 μB/f.u.

Cell lengths 6.033, 6.033, 6.033 Å; angles 90.00, 90.00, 90.00 degrees
Space group Im-3m (No. 229)
Symmetry-distinct sites (fractional):
Ca  0.000  0.000  0.000 (multiplicity 2)
P  0.250  0.250  0.250 (multiplicity 8)



Which structure is the most stable? The one labeled #Q.



#P
A relaxed structure of Ca2P3. Source: the Alexandria database, functional GGA-PBE.

Spin magnetization   0.23 μB/f.u.

Cell lengths 4.0923, 4.0923, 23.5391 Å; angles 90.00, 90.00, 120.00 degrees
Space group R-3m (No. 166, hexagonal axes)
Symmetry-distinct sites (fractional):
Ca  0.0000  0.0000  0.0969 (multiplicity 6)
P  0.0000  0.0000  0.3275 (multiplicity 6)
P  0.0000  0.0000  0.5000 (multiplicity 3)



#Q
A relaxed structure of Ca2P3. Source: the Alexandria database, functional GGA-PBE.

Spin magnetization   0.00 μB/f.u.

Cell lengths 10.072, 14.237, 5.965 Å; angles 90.00, 90.00, 90.00 degrees
Space group Fdd2 (No. 43)
Symmetry-distinct sites (fractional):
Ca  0.068  0.296  0.000 (multiplicity 16)
P  0.000  0.000  0.390 (multiplicity 8)
P  0.124  0.108  0.221 (multiplicity 16)



Which structure is the most stable? The one labeled #Q.